Material: PmTcGe2
Method: DFT, PBE-GGA
State: optimized geometry

```
PmTcGe2
1.0
0.000 3.332 3.332
3.332 0.000 3.332
3.332 3.332 0.000
Pm Tc Ge
1 1 2
direct
0.000 0.000 0.000 Pm
0.500 0.500 0.500 Tc
0.250 0.250 0.250 Ge
0.750 0.750 0.750 Ge
```

## Properties
DFT formation energy ... -0.2193 eV/atom
E above lowest polymorph ... 0.312 eV per atom
Volume ... 74 Å³ per cell
Space group ... Fm-3m
Size of the total moment ... 0.0 μB per formula unit

***

Material: Pm3TcGe3
Method: DFT, PBE-GGA
State: optimized geometry

```
Pm3TcGe3
1.0
4.119 -5.672 0.000
4.119 5.672 0.000
-1.485 0.000 7.447
Pm Tc Ge
6 2 6
direct
0.155 0.845 0.000 Pm
0.253 0.747 0.500 Pm
0.404 0.404 0.143 Pm
0.596 0.596 0.857 Pm
0.747 0.253 0.500 Pm
0.845 0.155 0.000 Pm
0.158 0.158 0.660 Tc
0.842 0.842 0.340 Tc
0.128 0.471 0.795 Ge
0.138 0.138 0.334 Ge
0.471 0.128 0.795 Ge
0.529 0.872 0.205 Ge
0.862 0.862 0.666 Ge
0.872 0.529 0.205 Ge
```

## Properties
DFT formation energy ... -0.5391 eV/atom
Volume ... 348 Å³ per cell
Space group ... C2/m
Size of the total moment ... 0.0 μB per formula unit

***

Material: PmTcGe2
Method: DFT, PBE-GGA
State: optimized geometry

```
PmTcGe2
1.0
3.129 -5.298 0.000
3.129 5.298 0.000
-3.110 0.000 4.929
Pm Tc Ge
2 2 4
direct
0.131 0.869 0.750 Pm
0.869 0.131 0.250 Pm
0.466 0.534 0.750 Tc
0.534 0.466 0.250 Tc
0.123 0.401 0.918 Ge
0.401 0.123 0.418 Ge
0.599 0.877 0.582 Ge
0.877 0.599 0.082 Ge
```

## Properties
DFT formation energy ... -0.5189 eV/atom
E above lowest polymorph ... 0.012 eV per atom
Volume ... 163 Å³ per cell
Space group ... C2/c
Size of the total moment ... 0.0 μB per formula unit

***

Material: PmTcGe2
Method: DFT, PBE-GGA
State: optimized geometry

```
PmTcGe2
1.0
4.240 0.000 0.000
0.000 4.240 0.000
0.000 0.000 4.287
Pm Tc Ge
1 1 2
direct
0.000 0.000 0.000 Pm
0.500 0.500 0.000 Tc
0.000 0.500 0.500 Ge
0.500 0.000 0.500 Ge
```

## Properties
DFT formation energy ... -0.0333 eV/atom
E above lowest polymorph ... 0.498 eV per atom
Volume ... 77 Å³ per cell
Space group ... P4/mmm
Size of the total moment ... 0.9 μB per formula unit

***

Material: Pm3TcGe
Method: DFT, PBE-GGA
State: optimized geometry

```
Pm3TcGe
1.0
-5.259 3.747 3.374
5.259 -3.747 3.374
5.259 3.747 -3.374
Pm Tc Ge
6 2 2
direct
0.198 0.002 0.695 Pm
0.249 0.000 0.249 Pm
0.249 0.500 0.749 Pm
0.307 0.502 0.305 Pm
0.751 0.000 0.751 Pm
0.751 0.500 0.251 Pm
0.253 0.753 0.000 Tc
0.753 0.253 0.000 Tc
0.732 0.502 0.731 Ge
0.771 0.002 0.269 Ge
```

## Properties
DFT formation energy ... -0.0687 eV/atom
Volume ... 266 Å³ per cell
Space group ... Ima2
Size of the total moment ... 0.0 μB per formula unit

***

Material: PmTc3Ge2
Method: DFT, PBE-GGA
State: optimized geometry

```
PmTc3Ge2
1.0
7.754 -2.080 0.000
7.754 2.080 0.000
-3.548 0.000 6.765
Pm Tc Ge
2 6 4
direct
0.141 0.141 0.059 Pm
0.859 0.859 0.941 Pm
0.049 0.049 0.404 Tc
0.298 0.298 0.524 Tc
0.414 0.414 0.353 Tc
0.586 0.586 0.647 Tc
0.702 0.702 0.476 Tc
0.951 0.951 0.596 Tc
0.201 0.201 0.729 Ge
0.477 0.477 0.815 Ge
0.523 0.523 0.185 Ge
0.799 0.799 0.271 Ge
```

## Properties
DFT formation energy ... -0.3910 eV/atom
Volume ... 218 Å³ per cell
Space group ... C2/m
Size of the total moment ... 0.0 μB per formula unit

***

Material: Pm2Tc2Ge3
Method: DFT, PBE-GGA
State: optimized geometry

```
Pm2Tc2Ge3
1.0
5.824 -2.152 0.000
5.824 2.152 0.000
-4.723 0.000 5.881
Pm Tc Ge
2 2 3
direct
0.071 0.071 0.327 Pm
0.929 0.929 0.673 Pm
0.269 0.269 0.922 Tc
0.731 0.731 0.078 Tc
0.350 0.350 0.327 Ge
0.500 0.500 0.000 Ge
0.650 0.650 0.673 Ge
```

## Properties
DFT formation energy ... -0.5264 eV/atom
Volume ... 147 Å³ per cell
Space group ... C2/m
Size of the total moment ... 0.0 μB per formula unit

***

Material: PmTcGe2
Method: DFT, PBE-GGA
State: optimized geometry

```
PmTcGe2
1.0
3.239 0.000 0.000
0.000 3.239 0.000
0.000 0.000 7.081
Pm Tc Ge
1 1 2
direct
0.000 0.000 0.000 Pm
0.000 0.000 0.500 Tc
0.500 0.500 0.304 Ge
0.500 0.500 0.696 Ge
```

## Properties
DFT formation energy ... -0.3375 eV/atom
E above lowest polymorph ... 0.194 eV per atom
Volume ... 74 Å³ per cell
Space group ... P4/mmm
Size of the total moment ... 0.0 μB per formula unit

***

Material: PmTc4Ge4
Method: DFT, PBE-GGA
State: optimized geometry

```
PmTc4Ge4
1.0
8.324 0.000 0.000
0.000 8.324 0.000
0.000 0.000 4.765
Pm Tc Ge
2 8 8
direct
0.250 0.250 0.250 Pm
0.750 0.750 0.750 Pm
0.125 0.861 0.672 Tc
0.139 0.625 0.172 Tc
0.361 0.875 0.172 Tc
0.375 0.639 0.672 Tc
0.625 0.361 0.328 Tc
0.639 0.125 0.828 Tc
0.861 0.375 0.828 Tc
0.875 0.139 0.328 Tc
0.039 0.899 0.181 Ge
0.101 0.539 0.681 Ge
0.399 0.961 0.681 Ge
0.461 0.601 0.181 Ge
0.539 0.399 0.819 Ge
0.601 0.039 0.319 Ge
0.899 0.461 0.319 Ge
0.961 0.101 0.819 Ge
```

## Properties
DFT formation energy ... -0.1723 eV/atom
Volume ... 330 Å³ per cell
Space group ... P4_2/n
Size of the total moment ... 0.0 μB per formula unit

***

Material: PmTc4Ge12
Method: DFT, PBE-GGA
State: optimized geometry

```
PmTc4Ge12
1.0
-4.402 4.402 4.402
4.402 -4.402 4.402
4.402 4.402 -4.402
Pm Tc Ge
1 4 12
direct
0.000 0.000 0.000 Pm
0.000 0.000 0.500 Tc
0.000 0.500 0.000 Tc
0.500 0.000 0.000 Tc
0.500 0.500 0.500 Tc
0.158 0.340 0.498 Ge
0.158 0.660 0.818 Ge
0.182 0.842 0.340 Ge
0.340 0.182 0.842 Ge
0.340 0.498 0.158 Ge
0.498 0.158 0.340 Ge
0.502 0.842 0.660 Ge
0.660 0.502 0.842 Ge
0.660 0.818 0.158 Ge
0.818 0.158 0.660 Ge
0.842 0.340 0.182 Ge
0.842 0.660 0.502 Ge
```

## Properties
DFT formation energy ... 0.1665 eV/atom
Volume ... 341 Å³ per cell
Space group ... Im-3
Size of the total moment ... 0.0 μB per formula unit

***

Material: PmTc3Ge3
Method: DFT, PBE-GGA
State: optimized geometry

```
PmTc3Ge3
1.0
8.677 0.000 0.000
-4.339 7.515 0.000
0.000 0.000 4.318
Pm Tc Ge
2 6 6
direct
0.333 0.667 0.250 Pm
0.667 0.333 0.750 Pm
0.106 0.467 0.750 Tc
0.361 0.894 0.750 Tc
0.467 0.361 0.250 Tc
0.533 0.639 0.750 Tc
0.639 0.106 0.250 Tc
0.894 0.533 0.250 Tc
0.024 0.712 0.750 Ge
0.288 0.312 0.750 Ge
0.312 0.024 0.250 Ge
0.688 0.976 0.750 Ge
0.712 0.688 0.250 Ge
0.976 0.288 0.250 Ge
```

## Properties
DFT formation energy ... 0.1722 eV/atom
E above lowest polymorph ... 0.441 eV per atom
Volume ... 282 Å³ per cell
Space group ... P6_3/m
Size of the total moment ... 0.0 μB per formula unit

***

Material: PmTc3Ge3
Method: DFT, PBE-GGA
State: optimized geometry

```
PmTc3Ge3
1.0
8.343 0.000 0.000
-4.172 7.225 0.000
0.000 0.000 4.425
Pm Tc Ge
2 6 6
direct
0.333 0.667 0.250 Pm
0.667 0.333 0.750 Pm
0.049 0.842 0.250 Tc
0.158 0.208 0.250 Tc
0.208 0.049 0.750 Tc
0.792 0.951 0.250 Tc
0.842 0.792 0.750 Tc
0.951 0.158 0.750 Tc
0.086 0.690 0.750 Ge
0.310 0.396 0.750 Ge
0.396 0.086 0.250 Ge
0.604 0.914 0.750 Ge
0.690 0.604 0.250 Ge
0.914 0.310 0.250 Ge
```

## Properties
DFT formation energy ... -0.2691 eV/atom
E above lowest polymorph ... 0.000 eV per atom
Volume ... 267 Å³ per cell
Space group ... P6_3/m
Size of the total moment ... 0.0 μB per formula unit